#w
First-principles (GGA-PBE) data for a geometry-optimized AsOsSe2 structure, as listed in the Alexandria database.

Calculated values
* crystal system: cubic
* SG: Fm-3m (225)

extended XYZ file:
```
4
Lattice="0.807 -4.412 0.983 -2.000 -1.942 3.649 -3.311 -3.126 -0.589" Properties=species:S:1:pos:R:3 pbc="T T T"
Os -2.252 -4.740 2.022
Se -1.126 -2.370 1.011
Se -3.377 -7.110 3.032
As 0.000 0.000 0.000
```



#x
First-principles (GGA-PBE) data for a geometry-optimized AsOsSe2 structure, as listed in the Alexandria database.

Calculated values
* crystal system: orthorhombic
* SG: Pmmm (47)

extended XYZ file:
```
4
Lattice="-0.971 -1.265 2.626 4.478 -1.384 0.989 0.755 4.028 2.220" Properties=species:S:1:pos:R:3 pbc="T T T"
Se 0.000 0.000 0.000
Se 1.754 -1.325 1.807
As -0.108 1.382 2.423
Os 2.617 1.322 1.604
```



#y
First-principles (GGA-PBE) data for a geometry-optimized AsOsSe2 structure, as listed in the Alexandria database.

Calculated values
* crystal system: tetragonal
* SG: I-42d (122)

extended XYZ file:
```
8
Lattice="6.437 0.000 0.000 0.000 6.437 0.000 3.218 3.218 4.537" Properties=species:S:1:pos:R:3 pbc="T T T"
Se 8.046 8.317 3.403
Se 1.338 4.828 1.134
Se 4.828 4.556 3.403
Se 5.099 1.609 1.134
As 3.218 6.437 2.268
As 3.218 3.218 0.000
Os 6.437 3.218 2.268
Os 0.000 0.000 0.000
```



#z
First-principles (GGA-PBE) data for a geometry-optimized AsOsSe2 structure, as listed in the Alexandria database.

Calculated values
* crystal system: tetragonal
* SG: P4mm (99)

extended XYZ file:
```
4
Lattice="-2.632 -0.767 -1.005 -0.744 -0.937 2.664 -3.327 8.650 2.114" Properties=species:S:1:pos:R:3 pbc="T T T"
Se -2.516 1.299 1.355
Se -3.076 7.998 1.955
Os -4.190 5.652 2.419
As -1.912 4.972 1.215
```



Verdict on stability: #z comes out on top.



#w
First-principles (GGA-PBE) data for a geometry-optimized As3OsSe structure, as listed in the Alexandria database.

Calculated values
* crystal system: cubic
* SG: Pm-3m (221)

extended XYZ file:
```
5
Lattice="4.804 0.000 0.000 0.000 4.804 0.000 0.000 0.000 4.804" Properties=species:S:1:pos:R:3 pbc="T T T"
As 0.000 2.402 0.000
As 0.000 0.000 2.402
As 2.402 0.000 0.000
Os 0.000 0.000 0.000
Se 2.402 2.402 2.402
```



#x
First-principles (GGA-PBE) data for a geometry-optimized As3OsSe structure, as listed in the Alexandria database.

Calculated values
* crystal system: cubic
* SG: Pm-3m (221)

extended XYZ file:
```
5
Lattice="-1.089 4.454 -1.506 0.924 -1.313 -4.551 -4.610 -1.316 -0.556" Properties=species:S:1:pos:R:3 pbc="T T T"
As -0.545 2.227 -0.753
As -2.305 -0.658 -0.278
As 0.462 -0.657 -2.275
Os -2.387 0.912 -3.307
Se 0.000 0.000 0.000
```



Verdict on stability: #w comes out on top.



#w
First-principles (GGA-PBE) data for a geometry-optimized SiAs2OsSe structure, as listed in the Alexandria database.

Calculated values
* crystal system: tetragonal
* SG: P4/mmm (123)

extended XYZ file:
```
5
Lattice="4.637 0.000 0.000 0.000 4.637 0.000 0.000 0.000 5.471" Properties=species:S:1:pos:R:3 pbc="T T T"
Se 0.000 0.000 2.736
As 2.319 0.000 0.000
As 0.000 2.319 0.000
Si 2.319 2.319 2.736
Os 0.000 0.000 0.000
```



#x
First-principles (GGA-PBE) data for a geometry-optimized SiAs2OsSe structure, as listed in the Alexandria database.

Calculated values
* crystal system: tetragonal
* SG: P4/mmm (123)

extended XYZ file:
```
5
Lattice="-2.741 -3.046 2.024 1.450 -3.261 -2.944 3.365 -1.110 2.887" Properties=species:S:1:pos:R:3 pbc="T T T"
Si 0.000 0.000 0.000
As -1.371 -1.523 1.012
As 1.683 -0.555 1.443
Os 1.037 -3.709 0.984
Se 0.725 -1.630 -1.472
```



Verdict on stability: #w comes out on top.



#w
First-principles (GGA-PBE) data for a geometry-optimized SrAs2OsSe structure, as listed in the Alexandria database.

Calculated values
* crystal system: tetragonal
* SG: P4/mmm (123)

extended XYZ file:
```
5
Lattice="-0.147 -1.428 4.475 -0.251 -4.469 -1.434 5.756 -0.348 0.078" Properties=species:S:1:pos:R:3 pbc="T T T"
Sr 2.679 -3.122 1.559
Se 2.878 -0.174 0.039
As -0.073 -0.714 2.238
As -0.125 -2.234 -0.717
Os 0.000 0.000 0.000
```



#x
First-principles (GGA-PBE) data for a geometry-optimized SrAs2OsSe structure, as listed in the Alexandria database.

Calculated values
* crystal system: tetragonal
* SG: P4/mmm (123)

extended XYZ file:
```
5
Lattice="5.594 0.000 0.000 0.000 5.594 0.000 0.000 0.000 5.475" Properties=species:S:1:pos:R:3 pbc="T T T"
As 2.797 0.000 0.000
As 0.000 2.797 0.000
Se 0.000 0.000 2.738
Sr 0.000 0.000 0.000
Os 2.797 2.797 2.738
```



#y
First-principles (GGA-PBE) data for a geometry-optimized SrAs2OsSe structure, as listed in the Alexandria database.

Calculated values
* crystal system: tetragonal
* SG: P4/mmm (123)

extended XYZ file:
```
5
Lattice="4.633 0.000 0.000 0.000 6.447 0.000 0.000 0.000 4.633" Properties=species:S:1:pos:R:3 pbc="T T T"
As 2.317 0.000 0.000
As 0.000 0.000 2.317
Sr 0.000 3.224 0.000
Os 0.000 0.000 0.000
Se 2.317 3.224 2.317
```



Verdict on stability: #w comes out on top.



#w
First-principles (GGA-PBE) data for a geometry-optimized TaAsOsSe2 structure, as listed in the Alexandria database.

Calculated values
* crystal system: tetragonal
* SG: P4/mmm (123)

extended XYZ file:
```
5
Lattice="4.726 0.000 0.000 0.000 5.103 0.000 0.000 0.000 4.726" Properties=species:S:1:pos:R:3 pbc="T T T"
As 2.363 2.551 2.363
Se 0.000 0.000 2.363
Se 2.363 0.000 0.000
Ta 0.000 2.551 0.000
Os 0.000 0.000 0.000
```



#x
First-principles (GGA-PBE) data for a geometry-optimized TaAsOsSe2 structure, as listed in the Alexandria database.

Calculated values
* crystal system: tetragonal
* SG: P4/mmm (123)

extended XYZ file:
```
5
Lattice="4.918 0.000 0.000 0.000 4.918 0.000 0.000 0.000 5.114" Properties=species:S:1:pos:R:3 pbc="T T T"
Se 0.000 2.459 0.000
Se 2.459 0.000 0.000
Os 2.459 2.459 2.557
As 0.000 0.000 2.557
Ta 0.000 0.000 0.000
```



#y
First-principles (GGA-PBE) data for a geometry-optimized TaAsOsSe2 structure, as listed in the Alexandria database.

Calculated values
* crystal system: tetragonal
* SG: P4/mmm (123)

extended XYZ file:
```
5
Lattice="4.963 0.000 0.000 0.000 4.963 0.000 0.000 0.000 4.566" Properties=species:S:1:pos:R:3 pbc="T T T"
Se 0.000 2.482 0.000
Se 2.482 0.000 0.000
Ta 2.482 2.482 2.283
Os 0.000 0.000 0.000
As 0.000 0.000 2.283
```



Verdict on stability: #w comes out on top.



#w
First-principles (GGA-PBE) data for a geometry-optimized TlAsOsSe2 structure, as listed in the Alexandria database.

Calculated values
* crystal system: tetragonal
* SG: P4/mmm (123)

extended XYZ file:
```
5
Lattice="-3.997 3.112 1.017 -3.274 -3.800 -1.239 0.002 -1.450 4.443" Properties=species:S:1:pos:R:3 pbc="T T T"
Se -1.998 1.556 0.509
Se -1.637 -1.900 -0.619
As 0.001 -0.725 2.222
Tl -3.635 -1.069 2.111
Os 0.000 0.000 0.000
```



#x
First-principles (GGA-PBE) data for a geometry-optimized TlAsOsSe2 structure, as listed in the Alexandria database.

Calculated values
* crystal system: tetragonal
* SG: P4/mmm (123)

extended XYZ file:
```
5
Lattice="5.245 0.000 0.000 0.000 5.245 0.000 0.000 0.000 5.366" Properties=species:S:1:pos:R:3 pbc="T T T"
Tl 0.000 0.000 0.000
Se 0.000 2.623 0.000
Se 2.623 0.000 0.000
As 0.000 0.000 2.683
Os 2.623 2.623 2.683
```



Verdict on stability: #w comes out on top.



#w
First-principles (GGA-PBE) data for a geometry-optimized AsOsWSe2 structure, as listed in the Alexandria database.

Calculated values
* crystal system: tetragonal
* SG: P4/mmm (123)

extended XYZ file:
```
5
Lattice="4.827 0.000 0.000 0.000 4.827 0.000 0.000 0.000 4.990" Properties=species:S:1:pos:R:3 pbc="T T T"
W 0.000 0.000 0.000
Se 2.413 0.000 0.000
Se 0.000 2.413 0.000
Os 2.413 2.413 2.495
As 0.000 0.000 2.495
```



#x
First-principles (GGA-PBE) data for a geometry-optimized AsOsWSe2 structure, as listed in the Alexandria database.

Calculated values
* crystal system: tetragonal
* SG: P4/mmm (123)

extended XYZ file:
```
5
Lattice="4.827 0.000 0.000 0.000 4.827 0.000 0.000 0.000 4.646" Properties=species:S:1:pos:R:3 pbc="T T T"
Os 0.000 0.000 0.000
Se 0.000 2.414 0.000
Se 2.414 0.000 0.000
W 2.414 2.414 2.323
As 0.000 0.000 2.323
```



Verdict on stability: #w comes out on top.



#w
First-principles (GGA-PBE) data for a geometry-optimized As2OsWSe structure, as listed in the Alexandria database.

Calculated values
* crystal system: tetragonal
* SG: P4/mmm (123)

extended XYZ file:
```
5
Lattice="-4.104 0.199 2.149 2.070 -0.950 4.039 0.697 5.152 0.854" Properties=species:S:1:pos:R:3 pbc="T T T"
As -2.052 0.099 1.075
As 1.035 -0.475 2.019
W -0.669 2.201 3.521
Os 0.000 0.000 0.000
Se 0.348 2.576 0.427
```



#x
First-principles (GGA-PBE) data for a geometry-optimized As2OsWSe structure, as listed in the Alexandria database.

Calculated values
* crystal system: tetragonal
* SG: P4/mmm (123)

extended XYZ file:
```
5
Lattice="4.897 0.000 0.000 0.000 4.897 0.000 0.000 0.000 4.766" Properties=species:S:1:pos:R:3 pbc="T T T"
Os 2.449 2.449 2.383
Se 0.000 0.000 2.383
As 0.000 2.449 0.000
As 2.449 0.000 0.000
W 0.000 0.000 0.000
```



Verdict on stability: #w comes out on top.



#w
First-principles (GGA-PBE) data for a geometry-optimized SiAsOs structure, as listed in the Alexandria database.

Calculated values
* crystal system: orthorhombic
* SG: Fmm2 (42)

extended XYZ file:
```
3
Lattice="6.847 0.008 -0.005 5.953 2.765 0.020 0.895 -1.114 2.521" Properties=species:S:1:pos:R:3 pbc="T T T"
As 12.700 2.741 0.036
Si 9.011 1.536 0.812
Os 4.784 0.156 1.703
```



#x
First-principles (GGA-PBE) data for a geometry-optimized SiAsOs structure, as listed in the Alexandria database.

Calculated values
* crystal system: cubic
* SG: F-43m (216)

extended XYZ file:
```
3
Lattice="-2.514 2.036 -2.590 0.154 -0.769 -4.069 -3.124 -1.996 -1.851" Properties=species:S:1:pos:R:3 pbc="T T T"
As -2.742 -0.365 -4.255
Os -4.113 -0.547 -6.383
Si 0.000 0.000 0.000
```



#y
First-principles (GGA-PBE) data for a geometry-optimized SiAsOs structure, as listed in the Alexandria database.

Calculated values
* crystal system: trigonal
* SG: P3m1 (156)

extended XYZ file:
```
3
Lattice="-0.349 -3.015 -0.673 0.463 0.893 2.942 -5.471 0.473 0.718" Properties=species:S:1:pos:R:3 pbc="T T T"
Os -1.961 -1.550 0.779
As -0.050 0.004 0.007
Si -3.346 -0.104 2.201
```



#z
First-principles (GGA-PBE) data for a geometry-optimized SiAsOs structure, as listed in the Alexandria database.

Calculated values
* crystal system: orthorhombic
* SG: Imm2 (44)

extended XYZ file:
```
3
Lattice="4.665 0.008 -0.002 2.189 4.120 0.002 -3.149 -2.526 2.339" Properties=species:S:1:pos:R:3 pbc="T T T"
Os 2.191 1.319 0.000
As 6.854 4.128 0.000
Si 4.664 2.809 0.000
```



Verdict on stability: #x comes out on top.



#w
First-principles (GGA-PBE) data for a geometry-optimized SiAsOs structure, as listed in the Alexandria database.

Calculated values
* crystal system: tetragonal
* SG: I4mm (107)

extended XYZ file:
```
3
Lattice="6.058 -0.011 0.000 4.639 3.896 0.000 -5.349 -1.942 2.079" Properties=species:S:1:pos:R:3 pbc="T T T"
As 10.408 3.780 0.000
Si 7.473 2.714 0.000
Os 3.515 1.277 0.000
```



#x
First-principles (GGA-PBE) data for a geometry-optimized SiAsOs structure, as listed in the Alexandria database.

Calculated values
* crystal system: monoclinic
* SG: P2_1/c (14)

extended XYZ file:
```
12
Lattice="6.139 0.000 0.000 0.000 6.263 -1.128 0.000 -2.787 5.704" Properties=species:S:1:pos:R:3 pbc="T T T"
Si 3.958 1.718 4.122
Si 2.181 1.758 0.454
Si 0.889 0.365 3.306
Si 5.250 3.111 1.270
As 0.643 4.712 0.106
As 2.426 3.319 2.958
As 5.496 -1.237 4.470
As 3.712 0.157 1.619
Os 0.004 2.590 3.525
Os 3.065 3.984 0.673
Os 6.134 0.885 1.051
Os 3.073 -0.508 3.903
```



Verdict on stability: #x comes out on top.



#w
First-principles (GGA-PBE) data for a geometry-optimized SiAs3Os structure, as listed in the Alexandria database.

Calculated values
* crystal system: cubic
* SG: Pm-3m (221)

extended XYZ file:
```
5
Lattice="-2.610 4.016 -0.400 -1.183 -1.217 -4.497 -3.859 -2.343 1.650" Properties=species:S:1:pos:R:3 pbc="T T T"
As -1.929 -1.171 0.825
As -0.592 -0.608 -2.248
As -1.305 2.008 -0.200
Os 0.000 0.000 0.000
Si -3.826 0.228 -1.624
```



#x
First-principles (GGA-PBE) data for a geometry-optimized SiAs3Os structure, as listed in the Alexandria database.

Calculated values
* crystal system: cubic
* SG: Pm-3m (221)

extended XYZ file:
```
5
Lattice="4.586 0.000 0.000 0.000 4.586 0.000 0.000 0.000 4.586" Properties=species:S:1:pos:R:3 pbc="T T T"
As 2.293 0.000 0.000
As 0.000 2.293 0.000
As 0.000 0.000 2.293
Si 0.000 0.000 0.000
Os 2.293 2.293 2.293
```



Verdict on stability: #w comes out on top.